Entry 1:
VASP calculation (PBE) on Mg3ZrAu after structural relaxation.

Computed properties:
VASP energy   -3.09 eV/atom
Total magnetic moment   0.7 μB/f.u.
Distance to the lowest polymorph of the same formula   0.0000 eV/atom

Lattice parameters (Å, degrees): 4.972 4.972 4.972 90.00 90.00 90.00
Each line ends with the local moment (μB).
Sites, in units of the cell vectors:
Mg1 0.000 0.500 0.000  0.00
Mg2 0.000 0.000 0.500  0.00
Mg3 0.500 0.000 0.000  0.00
Au1 0.000 0.000 0.000  0.01
Zr1 0.500 0.500 0.500  0.43

=====

Entry 2:
VASP calculation (PBE) on LaGaGe3 after structural relaxation.

Computed properties:
VASP energy   -3.52 eV/atom
Total magnetic moment   0.0 μB/f.u.

Lattice parameters (Å, degrees): 5.680 5.680 5.680 90.00 90.00 90.00
Sites, in units of the cell vectors:
Ge1 0.000 0.500 0.000
Ge2 0.000 0.000 0.500
Ge3 0.500 0.000 0.000
Ga1 0.500 0.500 0.500
La1 0.000 0.000 0.000

=====

Entry 3:
VASP calculation (PBE) on Na3Sn2 after structural relaxation.

Computed properties:
VASP energy   -2.53 eV/atom
Total magnetic moment   0.0 μB/f.u.

Lattice parameters (Å, degrees): 6.650 6.781 6.781 91.58 90.82 89.18
Sites, in units of the cell vectors:
Na1 0.579 0.433 0.751
Na2 0.921 0.751 0.433
Na3 0.250 0.068 0.068
Na4 0.750 0.932 0.932
Na5 0.079 0.249 0.567
Na6 0.421 0.567 0.249
Sn1 0.877 0.378 0.128
Sn2 0.623 0.128 0.378
Sn3 0.377 0.872 0.622
Sn4 0.123 0.622 0.872

=====

Result set for ΔE_f: 0.231; 0.842; -0.139 eV per atom, one per record in the order listed.